# 1
VASP calculation (PBE) on a relaxed structure of ReNiIr2.

abc: 3.771 3.771 7.780
angles: 90.00 90.00 90.00
Space group I-4m2 (No. 119)
Inequivalent atoms, fractional coordinates:
Re 0.000 0.000 0.000
Ni 0.000 0.500 0.250
Ir 0.000 0.000 0.500
Ir 0.000 0.500 0.750

Values from the calculation:
magnetic moment	0.0	μB per formula unit
energy above the most stable polymorph in this dataset	136	meV per atom
raw total energy	-8.997	eV/atom

***

# 2
VASP calculation (PBE) on a relaxed structure of Ac3InAg2Pd9.

abc: 8.0042 8.0042 6.5787
angles: 90.00 90.00 120.00
Space group P-3m1 (No. 164)
Inequivalent atoms, fractional coordinates:
Ac 0.0000 0.0000 0.0000
Ac 0.3333 0.6667 0.6727
In 0.0000 0.0000 0.5000
Ag 0.3333 0.6667 0.1726
Pd 0.0000 0.5000 0.0000
Pd 0.1632 0.3263 0.3217

Values from the calculation:
magnetic moment	0.0	μB per formula unit
raw total energy	-4.704	eV/atom